1 | This record from the Alexandria database describes an optimized crystal structure of Pm3In4Ga2. The functional is GGA-PBE.

POSCAR file:
```
Pm3In4Ga2
1.0
4.585 0.000 1.223
1.942 5.497 1.924
0.050 -0.075 9.020
In Ga Pm
4 2 3
Direct
0.974 0.693 0.358 In
0.026 0.307 0.642 In
0.726 0.618 0.931 In
0.274 0.382 0.069 In
0.621 0.049 0.708 Ga
0.379 0.951 0.292 Ga
0.677 0.296 0.349 Pm
0.323 0.704 0.651 Pm
0.000 0.000 0.000 Pm
```

Computed properties:
- Fermi-level density of states: 3.73 states/eV/f.u.

2 | This record from the Alexandria database describes an optimized crystal structure of Pm3In4Ga2. The functional is GGA-PBE.

POSCAR file:
```
Pm3In4Ga2
1.0
4.480 0.000 0.000
0.000 7.680 0.000
0.000 -3.840 6.651
In Ga Pm
4 2 3
Direct
0.500 0.000 0.000 In
0.000 0.000 0.733 In
0.000 0.267 0.267 In
0.000 0.733 0.000 In
0.000 0.333 0.667 Ga
0.000 0.667 0.333 Ga
0.500 0.593 0.593 Pm
0.500 0.407 0.000 Pm
0.500 0.000 0.407 Pm
```

Computed properties:
- Fermi-level density of states: 5.55 states/eV/f.u.

Energies relative to the most stable structure, in meV/atom: 1 0; 2 16.